# 1
Computed, not measured: a relaxed BaGa2AgOs crystal at the PBE-GGA level of DFT.

Unit cell a=4.830 b=4.830 c=5.399 alpha=90.00 beta=90.00 gamma=90.00
Positions (direct):
Ba  0.000  0.000  0.000
Ga  0.000  0.500  0.500
Ga  0.500  0.000  0.500
Ag  0.500  0.500  0.000
Os  0.500  0.500  0.500

Summary:
As for the space-group type: P4/mmm (123). The calculated formation energy is -75 kJ/mol of formula units.



# 2
Computed, not measured: a relaxed Y2ScBi3 crystal at the PBE-GGA level of DFT.

Unit cell a=7.643 b=7.643 c=7.643 alpha=146.47 beta=131.67 gamma=60.11
Positions (direct):
Y  0.169  0.169  0.000
Y  0.831  0.831  0.000
Sc  0.500  0.500  0.000
Bi  0.000  0.500  0.500
Bi  0.342  0.842  0.500
Bi  0.658  0.158  0.500

Summary:
As for the space-group type: Immm (71). Its energy relative to the lowest polymorph listed for this composition is 4 meV per atom. The calculated formation energy is -467 kJ/mol of formula units.



# 3
Computed, not measured: a relaxed LaTlO2F crystal at the PBE-GGA level of DFT.

Unit cell a=4.578 b=4.578 c=4.837 alpha=90.00 beta=90.00 gamma=90.00
Positions (direct):
La  0.000  0.000  0.000
Tl  0.500  0.500  0.500
O  0.000  0.500  0.000
O  0.500  0.000  0.000
F  0.000  0.000  0.500

Summary:
As for the space-group type: P4/mmm (123). As for the formation energy without anion corrections: -2185 meV/atom.



# 4
Computed, not measured: a relaxed Cd3Ga2Hg2 crystal at the PBE-GGA level of DFT.

Unit cell a=16.617 b=16.617 c=3.124 alpha=90.00 beta=90.00 gamma=169.25
Positions (direct):
Cd  0.000  0.000  0.000
Cd  0.429  0.571  0.500
Cd  0.571  0.429  0.500
Ga  0.137  0.863  0.000
Ga  0.863  0.137  0.000
Hg  0.292  0.708  0.500
Hg  0.708  0.292  0.500

Summary:
As for the space-group type: Cmmm (65). Its energy relative to the lowest polymorph listed for this composition is 0 meV per atom. The calculated formation energy is 31 kJ/mol of formula units.



# 5
Computed, not measured: a relaxed Mn3BeFe crystal at the PBE-GGA level of DFT.

Unit cell a=4.223 b=4.223 c=4.223 alpha=90.00 beta=90.00 gamma=90.00
Positions (direct):
Mn  0.000  0.000  0.500
Mn  0.000  0.500  0.000
Mn  0.500  0.000  0.000
Be  0.500  0.500  0.500
Fe  0.000  0.000  0.000

Summary:
As for the space-group type: Pm-3m (221). The calculated formation energy is 588 kJ/mol of formula units.



# 6
Computed, not measured: a relaxed YHPb2 crystal at the PBE-GGA level of DFT.

Unit cell a=5.218 b=5.218 c=5.218 alpha=60.00 beta=60.00 gamma=60.00
Positions (direct):
Y  0.000  0.000  0.000
H  0.500  0.500  0.500
Pb  0.250  0.250  0.250
Pb  0.750  0.750  0.750

Summary:
As for the space-group type: Fm-3m (225). Its energy relative to the lowest polymorph listed for this composition is 105 meV per atom.



Number 1: M_tot 0.000 μB per atom. Number 2: M_tot 0.000 μB per atom. Number 3: M_tot 0.068 μB per atom. Number 4: M_tot 0.000 μB per atom. Number 5: M_tot 1.241 μB per atom. Number 6: M_tot 0.061 μB per atom.